Here is a relaxed TlSb2TePd crystal from Alexandria. Energies are from GGA-PBE.

Geometry as POSCAR:
```
TlSb2TePd
1.0
5.631 0.000 0.000
0.000 5.631 0.000
0.000 0.000 5.748
Tl Sb Te Pd
1 2 1 1
direct
0.000 0.000 0.000 Tl
0.000 0.500 0.000 Sb
0.500 0.000 0.000 Sb
0.000 0.000 0.500 Te
0.500 0.500 0.500 Pd
```

raw formation energy	1.1517	eV per atom
DOS(E_F)	6.0	states/eV/cell
raw total energy	-2.64	eV/atom
crystal system	tetragonal
mass density	6213	kg/m³
total moment	0.00	μB/cell
offset from the most stable computed form	977	meV per atom